1.
Here is crystalline LiAlTl2Pb at its relaxed geometry from Alexandria via LeMat-Bulk. Energies are from PBE.

Excess energy over the best structure of this formula in the dataset in kJ/mol of formula units: 0
E in eV per atom: -2.57

Cell: 5.1364 5.1364 5.0264 Å, 90.00 90.00 90.00°
Space group P4/mmm (No. 123)
Inequivalent atoms, fractional coordinates:
Li 0.0000 0.0000 0.0000 [1 per cell]
Al 0.0000 0.0000 0.5000 [1 per cell]
Tl 0.0000 0.5000 0.0000 [2 per cell]
Pb 0.5000 0.5000 0.5000 [1 per cell]

=====

2.
Here is crystalline Li6AlPd2 at its relaxed geometry from Alexandria via LeMat-Bulk. Energies are from PBE.

Excess energy over the best structure of this formula in the dataset in kJ/mol of formula units: 34
E in eV per atom: -3.12

Cell: 4.4654 4.4654 26.4146 Å, 90.00 90.00 120.00°
Space group R-3m (No. 166, hexagonal axes)
Inequivalent atoms, fractional coordinates:
Li 0.0000 0.0000 0.0840 [6 per cell]
Li 0.0000 0.0000 0.2059 [6 per cell]
Li 0.0000 0.0000 0.3079 [6 per cell]
Al 0.0000 0.0000 0.5000 [3 per cell]
Pd 0.0000 0.0000 0.4093 [6 per cell]

=====

3.
Here is crystalline LiAlPd2 at its relaxed geometry from Alexandria via LeMat-Bulk. Energies are from PBE.

E in eV per atom: -4.56

Cell: 2.9714 2.9714 23.6988 Å, 90.00 90.00 120.00°
Space group R-3m (No. 166, hexagonal axes)
Inequivalent atoms, fractional coordinates:
Li 0.0000 0.0000 0.0000 [3 per cell]
Al 0.0000 0.0000 0.5000 [3 per cell]
Pd 0.0000 0.0000 0.2457 [6 per cell]

=====

4.
Here is crystalline LiAlPd2 at its relaxed geometry from Alexandria via LeMat-Bulk. Energies are from PBE.

E in eV per atom: -4.57

Cell: 2.9807 2.9807 23.4742 Å, 90.00 90.00 120.00°
Space group R3m (No. 160, hexagonal axes)
Inequivalent atoms, fractional coordinates:
Li 0.0000 0.0000 0.0000 [3 per cell]
Al 0.0000 0.0000 0.1664 [3 per cell]
Pd 0.0000 0.0000 0.5794 [3 per cell]
Pd 0.0000 0.0000 0.7537 [3 per cell]

=====

Energy of formation for every record listed, in sequence, given in kJ/mol of atoms: 23.8 -26.3 -53.0 -53.7.
DOS(E_F) for every record listed, in sequence, given in states/eV/cell: 2.79 10.88 8.55 7.04.